TmCuPt, relaxed, DFT PBE-GGA; excess energy over the best structure of this formula in the dataset = 0.351 eV/atom
1.0
6.3886 0.0000 0.0000
0.0000 6.3886 0.0000
0.0000 0.0000 6.3886
Tm Cu Pt
4 4 4
Direct
0.0000 0.0000 0.0000
0.0000 0.5000 0.5000
0.5000 0.0000 0.5000
0.5000 0.5000 0.0000
0.2500 0.2500 0.7500
0.2500 0.7500 0.2500
0.7500 0.2500 0.2500
0.7500 0.7500 0.7500
0.2500 0.2500 0.2500
0.2500 0.7500 0.7500
0.7500 0.2500 0.7500
0.7500 0.7500 0.2500

=====

Tm3Zn3CuPt2: relaxed, PBE-GGA.

Geometry as POSCAR:
```
Tm3Zn3CuPt2
1.0
7.2438 0.0000 0.0000
-3.6219 6.2733 0.0000
0.0000 0.0000 3.7302
Tm Zn Cu Pt
3 3 1 2
Direct
0.0000 0.4067 0.0000
0.4067 0.0000 0.0000
0.5933 0.5933 0.0000
0.0000 0.7536 0.5000
0.2464 0.2464 0.5000
0.7536 0.0000 0.5000
0.0000 0.0000 0.0000
0.3333 0.6667 0.5000
0.6667 0.3333 0.5000
```

=====

ZnCuPtW, relaxed, DFT PBE-GGA; excess energy over the best structure of this formula in the dataset = 0.000 eV/atom
1.0
6.1543 0.0000 0.0000
0.0000 6.1543 0.0000
0.0000 0.0000 6.1543
Zn Cu Pt W
4 4 4 4
Direct
0.0000 0.0000 0.0000
0.0000 0.5000 0.5000
0.5000 0.0000 0.5000
0.5000 0.5000 0.0000
0.2500 0.2500 0.2500
0.2500 0.7500 0.7500
0.7500 0.2500 0.7500
0.7500 0.7500 0.2500
0.2500 0.2500 0.7500
0.2500 0.7500 0.2500
0.7500 0.2500 0.2500
0.7500 0.7500 0.7500
0.0000 0.0000 0.5000
0.0000 0.5000 0.0000
0.5000 0.0000 0.0000
0.5000 0.5000 0.5000

=====

ZnCuPtW, relaxed, DFT PBE-GGA; excess energy over the best structure of this formula in the dataset = 0.024 eV/atom
1.0
6.1444 0.0000 0.0000
0.0000 6.1444 0.0000
0.0000 0.0000 6.1444
Zn Cu Pt W
4 4 4 4
Direct
0.0000 0.0000 0.0000
0.0000 0.5000 0.5000
0.5000 0.0000 0.5000
0.5000 0.5000 0.0000
0.2500 0.2500 0.2500
0.2500 0.7500 0.7500
0.7500 0.2500 0.7500
0.7500 0.7500 0.2500
0.0000 0.0000 0.5000
0.0000 0.5000 0.0000
0.5000 0.0000 0.0000
0.5000 0.5000 0.5000
0.2500 0.2500 0.7500
0.2500 0.7500 0.2500
0.7500 0.2500 0.2500
0.7500 0.7500 0.7500

=====

Y2CuPt: relaxed, PBE-GGA.

Geometry as POSCAR:
```
Y2CuPt
1.0
5.5510 0.0000 0.0000
0.0000 4.4916 0.0000
-2.5659 0.0000 7.0835
Y Cu Pt
4 2 2
Direct
0.2202 0.2500 0.4336
0.2240 0.2500 0.9275
0.7760 0.7500 0.0725
0.7798 0.7500 0.5664
0.3423 0.7500 0.2092
0.6577 0.2500 0.7908
0.3455 0.7500 0.7129
0.6545 0.2500 0.2871
```

=====

YCu2Pt: relaxed, PBE-GGA.

Geometry as POSCAR:
```
YCu2Pt
1.0
6.4982 0.0000 0.0000
0.0000 6.4982 0.0000
0.0000 0.0000 6.4982
Y Cu Pt
4 8 4
Direct
0.0000 0.0000 0.0000
0.0000 0.5000 0.5000
0.5000 0.0000 0.5000
0.5000 0.5000 0.0000
0.0000 0.0000 0.5000
0.0000 0.5000 0.0000
0.2500 0.2500 0.2500
0.2500 0.7500 0.7500
0.5000 0.0000 0.0000
0.5000 0.5000 0.5000
0.7500 0.2500 0.7500
0.7500 0.7500 0.2500
0.2500 0.2500 0.7500
0.2500 0.7500 0.2500
0.7500 0.2500 0.2500
0.7500 0.7500 0.7500
```

=====

no.,energy relative to the elements (meV/atom)
1,-292
2,-801
3,110
4,134
5,-803
6,-410